(P)
# PmOsI

PmOsI after structural relaxation (GGA-PBE, Alexandria via LeMat-Bulk).

Structure (extended XYZ):
```
6
Lattice="5.3798 -2.4018 0.0000 5.3798 2.4018 0.0000 -1.6614 0.0000 6.0771" Properties=species:S:1:pos:R:3 pbc="T T T"
Pm 0.8446 0.0000 1.9656
Pm 8.2536 0.0000 4.1115
Os 0.7303 0.0000 4.6676
Os 8.3679 0.0000 1.4094
I 3.9049 0.0000 0.9892
I 5.1934 0.0000 5.0879
```

## Properties
As for the space-group type: C2/m, No. 12. The volume comes out at 26.175 Å³ per atom. The value obtained for the density of states at the Fermi level is 2.737 states/eV/cell.

***

(Q)
# PmOsI

PmOsI after structural relaxation (GGA-PBE, Alexandria via LeMat-Bulk).

Structure (extended XYZ):
```
6
Lattice="3.6509 -2.1530 0.0000 3.6509 2.1530 0.0000 -0.3924 0.0000 12.3446" Properties=species:S:1:pos:R:3 pbc="T T T"
Pm 0.0064 0.0000 2.0413
Pm 6.9030 0.0000 10.3034
Os 2.3867 0.0000 0.0981
Os 4.5227 0.0000 12.2466
I 2.0782 0.0000 8.1609
I 4.8312 0.0000 4.1837
```

## Properties
As for the space-group type: C2/m, No. 12. The volume comes out at 32.345 Å³ per atom. The value obtained for the density of states at the Fermi level is 2.297 states/eV/cell.

***

Of them, the most stable is (Q) and the least stable is (P).

***

(P)
# Pr3OsI

Pr3OsI after structural relaxation (GGA-PBE, Alexandria via LeMat-Bulk).

Structure (extended XYZ):
```
10
Lattice="4.3428 0.0000 0.0000 0.0000 7.3184 0.0000 0.0000 0.0000 10.1487" Properties=species:S:1:pos:R:3 pbc="T T T"
Pr 1.0857 0.0036 1.4393
Pr 1.0857 1.8296 6.2328
Pr 1.0857 3.6556 1.4393
Pr 3.2571 7.3148 8.7094
Pr 3.2571 3.6628 8.7094
Pr 3.2571 5.4888 3.9159
Os 1.0857 1.8296 9.1237
Os 3.2571 5.4888 1.0250
I 1.0857 5.4888 6.5235
I 3.2571 1.8296 3.6251
```

## Properties
As for the space-group type: Pmmn, No. 59. The volume comes out at 32.255 Å³ per atom. The value obtained for the density of states at the Fermi level is 7.259 states/eV/cell.

***

(Q)
# Pr3OsI

Pr3OsI after structural relaxation (GGA-PBE, Alexandria via LeMat-Bulk).

Structure (extended XYZ):
```
10
Lattice="4.0184 0.0000 0.0000 0.0000 9.5874 0.0000 0.0000 0.0000 8.8580" Properties=species:S:1:pos:R:3 pbc="T T T"
Pr 1.0046 0.7063 1.3111
Pr 1.0046 2.3969 6.7015
Pr 1.0046 4.0874 1.3111
Pr 3.0138 5.5000 7.5470
Pr 3.0138 7.1906 2.1565
Pr 3.0138 8.8811 7.5470
Os 1.0046 7.1906 0.2209
Os 3.0138 2.3969 8.6372
I 1.0046 7.1906 5.0187
I 3.0138 2.3969 3.8393
```

## Properties
As for the space-group type: Pmmn, No. 59. The volume comes out at 34.127 Å³ per atom. The value obtained for the density of states at the Fermi level is 4.903 states/eV/cell.

***

Of them, the most stable is (Q) and the least stable is (P).

***

(P)
# OsPt2I

OsPt2I after structural relaxation (GGA-PBE, Alexandria via LeMat-Bulk).

Structure (extended XYZ):
```
8
Lattice="-3.3207 3.3207 4.4361 3.3207 -3.3207 4.4361 3.3207 3.3207 -4.4361" Properties=species:S:1:pos:R:3 pbc="T T T"
Os 0.0000 0.0000 0.0000
Os 0.0000 3.3207 2.2181
Pt 4.9810 1.3843 -1.1090
Pt 1.3843 1.6603 1.1090
Pt -1.6603 1.9363 3.3271
Pt 1.9363 1.6603 5.5451
I 3.3207 0.0000 2.2181
I 0.0000 0.0000 4.4361
```

## Properties
As for the space-group type: I-42d, No. 122. The volume comes out at 24.458 Å³ per atom. The value obtained for the density of states at the Fermi level is 9.935 states/eV/cell.

***

(Q)
# OsPt2I

OsPt2I after structural relaxation (GGA-PBE, Alexandria via LeMat-Bulk).

Structure (extended XYZ):
```
4
Lattice="0.0000 3.2839 3.2839 3.2839 0.0000 3.2839 3.2839 3.2839 0.0000" Properties=species:S:1:pos:R:3 pbc="T T T"
Os 0.0000 0.0000 0.0000
Pt 1.6419 1.6419 1.6419
Pt 4.9258 4.9258 4.9258
I 3.2839 3.2839 3.2839
```

## Properties
As for the space-group type: Fm-3m, No. 225. The volume comes out at 17.707 Å³ per atom. The value obtained for the density of states at the Fermi level is 3.925 states/eV/cell.

***

Of them, the most stable is (P) and the least stable is (Q).

***

(P)
# Os2Pt2I

Os2Pt2I after structural relaxation (GGA-PBE, Alexandria via LeMat-Bulk).

Structure (extended XYZ):
```
10
Lattice="7.0151 0.0000 0.0000 0.0000 7.0151 0.0000 0.0000 0.0000 3.5983" Properties=species:S:1:pos:R:3 pbc="T T T"
Os 0.8927 2.6148 0.0000
Os 2.6148 6.1223 0.0000
Os 4.4003 0.8927 0.0000
Os 6.1223 4.4003 0.0000
Pt 1.1342 4.6418 1.7991
Pt 2.3733 1.1342 1.7991
Pt 4.6418 5.8809 1.7991
Pt 5.8809 2.3733 1.7991
I 0.0000 0.0000 0.0000
I 3.5075 3.5075 0.0000
```

## Properties
As for the space-group type: P4/mbm, No. 127. The volume comes out at 17.708 Å³ per atom. The value obtained for the density of states at the Fermi level is 11.158 states/eV/cell.

***

(Q)
# Os2Pt2I

Os2Pt2I after structural relaxation (GGA-PBE, Alexandria via LeMat-Bulk).

Structure (extended XYZ):
```
5
Lattice="-1.9164 1.9164 6.2272 1.9164 -1.9164 6.2272 1.9164 1.9164 -6.2272" Properties=species:S:1:pos:R:3 pbc="T T T"
Os 0.0000 0.0000 1.2323
Os 0.0000 0.0000 11.2221
Pt 1.9164 0.0000 3.1136
Pt 0.0000 1.9164 3.1136
I 0.0000 0.0000 6.2272
```

## Properties
As for the space-group type: I4/mmm, No. 139. The volume comes out at 18.296 Å³ per atom. The value obtained for the density of states at the Fermi level is 6.480 states/eV/cell.

***

Of them, the most stable is (P) and the least stable is (Q).